(1)
! PBEsol Rb2TaMnW, optimized geometry; values from VASP
! **V**: 190.1 Å³/f.u.
! **Magnetization**: 4.2 μB per formula unit
! **DOS(E_F)**: 5.86 states/eV per cell
&SYSTEM
  ibrav = 0, nat = 5, ntyp = 4
/
ATOMIC_SPECIES
Rb 85.47 Rb.upf
Ta 180.95 Ta.upf
Mn 54.94 Mn.upf
W 183.84 W.upf
ATOMIC_POSITIONS angstrom
Rb 0.000 3.301 0.000
Rb 3.301 0.000 0.000
Ta 0.000 0.000 2.181
Mn 3.301 3.301 2.181
W 3.301 3.301 0.000
CELL_PARAMETERS angstrom
6.602 0.000 0.000
0.000 6.602 0.000
0.000 0.000 4.362


(2)
! PBEsol RbTaMnW2, optimized geometry; values from VASP
! **V**: 97.2 Å³/f.u.
! **Magnetization**: 0.0 μB per formula unit
! **DOS(E_F)**: 6.80 states/eV per cell
&SYSTEM
  ibrav = 0, nat = 5, ntyp = 4
/
ATOMIC_SPECIES
Rb 85.47 Rb.upf
Ta 180.95 Ta.upf
Mn 54.94 Mn.upf
W 183.84 W.upf
ATOMIC_POSITIONS angstrom
Rb 0.000 0.000 0.000
Ta 2.282 2.282 0.000
Mn 0.000 0.000 2.332
W 0.000 2.282 2.332
W 2.282 0.000 2.332
CELL_PARAMETERS angstrom
4.564 0.000 0.000
0.000 4.564 0.000
0.000 0.000 4.664


The following DFT total energy values (in hartree per atom) correspond, in order, to the records above: -0.180; -0.288.